A relaxed structure of Pm3Sm6Y. Source: the Alexandria database, functional PBE.

Cell lengths 11.5409, 6.8998, 9.1491 Å; angles 90.00, 108.08, 90.00 degrees
Space group C2/m (No. 12)
Asymmetric unit:
Pm  0.0000  0.0000  0.0000 [2 per cell]
Pm  0.0771  0.5000  0.1744 [4 per cell]
Sm  0.1263  0.0000  0.4208 [4 per cell]
Sm  0.1854  0.2602  0.7995 [8 per cell]
Y  0.0000  0.5000  0.5000 [2 per cell]

Output
- crystal system = monoclinic
- total magnetization (μB per cell) = 0.00
- distance to the lowest polymorph of the same formula (meV per atom) = 78
- formation enthalpy at 0 K (eV per atom) = 0.2210
- final energy (eV per cell) = -93.641